1.
# GGA-PBE AcIn2GaPt2, optimized geometry
data_AcIn2GaPt2
_symmetry_space_group_name_H-M 'P 1'
_symmetry_Int_Tables_number 1
_symmetry_space_group_name_Hall 'P 1'
_cell_length_a 6.732
_cell_length_b 6.732
_cell_length_c 6.732
_cell_angle_alpha 133.69
_cell_angle_beta 133.69
_cell_angle_gamma 67.58
loop_
_atom_site_label
_atom_site_fract_x
_atom_site_fract_y
_atom_site_fract_z
Ac1 0.000 0.000 0.000
In1 0.250 0.750 0.500
In2 0.750 0.250 0.500
Ga1 0.500 0.500 0.000
Pt1 0.287 0.287 0.000
Pt2 0.713 0.713 0.000
# Electronic total energy: -4.624 eV per atom
# D(E_F): 2.8 states/eV/cell
# Crystal system: tetragonal
# SG: I4/mmm, No. 139

---

2.
# GGA-PBE Er2ZnCu, optimized geometry
data_Er2ZnCu
_symmetry_space_group_name_H-M 'P 1'
_symmetry_Int_Tables_number 1
_symmetry_space_group_name_Hall 'P 1'
_cell_length_a 10.459
_cell_length_b 10.459
_cell_length_c 10.459
_cell_angle_alpha 18.57
_cell_angle_beta 18.57
_cell_angle_gamma 18.57
loop_
_atom_site_label
_atom_site_fract_x
_atom_site_fract_y
_atom_site_fract_z
Er1 0.099 0.099 0.099
Er2 0.901 0.901 0.901
Zn1 0.000 0.000 0.000
Cu1 0.500 0.500 0.500
# Electronic total energy: -3.328 eV per atom
# Excess energy over the best structure of this formula in the dataset: 608 meV/atom
# D(E_F): 4.6 states/eV/cell
# Crystal system: trigonal
# SG: R-3m, No. 166

---

3.
# GGA-PBE Ag2Pd8Rh, optimized geometry
data_Ag2Pd8Rh
_symmetry_space_group_name_H-M 'P 1'
_symmetry_Int_Tables_number 1
_symmetry_space_group_name_Hall 'P 1'
_cell_length_a 7.448
_cell_length_b 7.448
_cell_length_c 6.284
_cell_angle_alpha 104.48
_cell_angle_beta 104.48
_cell_angle_gamma 30.83
loop_
_atom_site_label
_atom_site_fract_x
_atom_site_fract_y
_atom_site_fract_z
Ag1 0.227 0.227 0.137
Ag2 0.773 0.773 0.863
Pd1 0.044 0.044 0.228
Pd2 0.133 0.133 0.674
Pd3 0.320 0.320 0.591
Pd4 0.412 0.412 0.053
Pd5 0.588 0.588 0.947
Pd6 0.680 0.680 0.409
Pd7 0.867 0.867 0.326
Pd8 0.956 0.956 0.772
Rh1 0.500 0.500 0.500
# Electronic total energy: -4.932 eV per atom
# D(E_F): 18.7 states/eV/cell
# Crystal system: monoclinic
# SG: C2/m, No. 12

---

4.
# GGA-PBE Ac3Pm2Sn7, optimized geometry
data_Ac3Pm2Sn7
_symmetry_space_group_name_H-M 'P 1'
_symmetry_Int_Tables_number 1
_symmetry_space_group_name_Hall 'P 1'
_cell_length_a 11.766
_cell_length_b 11.766
_cell_length_c 6.057
_cell_angle_alpha 90.00
_cell_angle_beta 90.00
_cell_angle_gamma 151.06
loop_
_atom_site_label
_atom_site_fract_x
_atom_site_fract_y
_atom_site_fract_z
Ac1 0.000 0.000 0.000
Ac2 0.170 0.830 0.000
Ac3 0.830 0.170 0.000
Pm1 0.364 0.636 0.500
Pm2 0.636 0.364 0.500
Sn1 0.081 0.919 0.500
Sn2 0.226 0.774 0.500
Sn3 0.416 0.584 0.000
Sn4 0.500 0.500 0.500
Sn5 0.584 0.416 0.000
Sn6 0.774 0.226 0.500
Sn7 0.919 0.081 0.500
# Electronic total energy: -4.565 eV per atom
# D(E_F): 7.9 states/eV/cell
# Crystal system: orthorhombic
# SG: Cmmm, No. 65

---

5.
# GGA-PBE BeInNiOs2, optimized geometry
data_BeInNiOs2
_symmetry_space_group_name_H-M 'P 1'
_symmetry_Int_Tables_number 1
_symmetry_space_group_name_Hall 'P 1'
_cell_length_a 4.874
_cell_length_b 4.874
_cell_length_c 4.515
_cell_angle_alpha 90.00
_cell_angle_beta 90.00
_cell_angle_gamma 90.00
loop_
_atom_site_label
_atom_site_fract_x
_atom_site_fract_y
_atom_site_fract_z
Be1 0.000 0.000 0.000
In1 0.500 0.500 0.500
Ni1 0.500 0.500 0.000
Os1 0.000 0.500 0.500
Os2 0.500 0.000 0.500
# Electronic total energy: -4.339 eV per atom
# D(E_F): 5.6 states/eV/cell
# Crystal system: tetragonal
# SG: P4/mmm, No. 123

---

6.
# GGA-PBE Rb3ErBi2S6, optimized geometry
data_Rb3ErBi2S6
_symmetry_space_group_name_H-M 'P 1'
_symmetry_Int_Tables_number 1
_symmetry_space_group_name_Hall 'P 1'
_cell_length_a 7.192
_cell_length_b 7.192
_cell_length_c 8.053
_cell_angle_alpha 98.56
_cell_angle_beta 98.56
_cell_angle_gamma 119.99
loop_
_atom_site_label
_atom_site_fract_x
_atom_site_fract_y
_atom_site_fract_z
Rb1 0.000 0.000 0.000
Rb2 0.330 0.670 0.000
Rb3 0.670 0.330 0.000
Er1 0.500 0.500 0.500
Bi1 0.166 0.834 0.500
Bi2 0.834 0.166 0.500
S1 0.112 0.435 0.304
S2 0.243 0.243 0.697
S3 0.435 0.112 0.304
S4 0.565 0.888 0.696
S5 0.757 0.757 0.303
S6 0.888 0.565 0.696
# Electronic total energy: -4.471 eV per atom
# D(E_F): 0.0 states/eV/cell
# Crystal system: monoclinic
# E_form (uncorrected): -13.7 eV per formula unit
# SG: C2/m, No. 12

---

7.
# GGA-PBE SmVOs, optimized geometry
data_SmVOs
_symmetry_space_group_name_H-M 'P 1'
_symmetry_Int_Tables_number 1
_symmetry_space_group_name_Hall 'P 1'
_cell_length_a 4.568
_cell_length_b 4.610
_cell_length_c 5.948
_cell_angle_alpha 90.00
_cell_angle_beta 99.04
_cell_angle_gamma 90.00
loop_
_atom_site_label
_atom_site_fract_x
_atom_site_fract_y
_atom_site_fract_z
Sm1 0.247 0.250 0.417
Sm2 0.753 0.750 0.583
V1 0.104 0.250 0.898
V2 0.896 0.750 0.102
Os1 0.324 0.750 0.922
Os2 0.676 0.250 0.078
# Electronic total energy: -8.290 eV per atom
# D(E_F): 5.7 states/eV/cell
# Crystal system: monoclinic
# SG: P2_1/m, No. 11

---

8.
# GGA-PBE TlSbBr2, optimized geometry
data_TlSbBr2
_symmetry_space_group_name_H-M 'P 1'
_symmetry_Int_Tables_number 1
_symmetry_space_group_name_Hall 'P 1'
_cell_length_a 3.837
_cell_length_b 4.858
_cell_length_c 6.636
_cell_angle_alpha 90.00
_cell_angle_beta 90.00
_cell_angle_gamma 90.00
loop_
_atom_site_label
_atom_site_fract_x
_atom_site_fract_y
_atom_site_fract_z
Tl1 0.000 0.000 0.000
Sb1 0.500 0.000 0.500
Br1 0.000 0.500 0.500
Br2 0.500 0.500 0.000
# Electronic total energy: -2.631 eV per atom
# D(E_F): 2.8 states/eV/cell
# Crystal system: orthorhombic
# E_form (uncorrected): -0.7 eV per formula unit
# SG: Pmmm, No. 47

---

9.
# GGA-PBE ErCrAs, optimized geometry
data_ErCrAs
_symmetry_space_group_name_H-M 'P 1'
_symmetry_Int_Tables_number 1
_symmetry_space_group_name_Hall 'P 1'
_cell_length_a 10.145
_cell_length_b 10.145
_cell_length_c 10.145
_cell_angle_alpha 21.67
_cell_angle_beta 21.67
_cell_angle_gamma 21.67
loop_
_atom_site_label
_atom_site_fract_x
_atom_site_fract_y
_atom_site_fract_z
Er1 0.118 0.118 0.118
Er2 0.882 0.882 0.882
Cr1 0.357 0.357 0.357
Cr2 0.643 0.643 0.643
As1 0.275 0.275 0.275
As2 0.725 0.725 0.725
# Electronic total energy: -6.606 eV per atom
# D(E_F): 6.0 states/eV/cell
# Crystal system: trigonal
# SG: R-3m, No. 166

---

10.
# GGA-PBE Ac2AlSi3, optimized geometry
data_Ac2AlSi3
_symmetry_space_group_name_H-M 'P 1'
_symmetry_Int_Tables_number 1
_symmetry_space_group_name_Hall 'P 1'
_cell_length_a 8.671
_cell_length_b 8.450
_cell_length_c 6.325
_cell_angle_alpha 70.19
_cell_angle_beta 66.47
_cell_angle_gamma 43.34
loop_
_atom_site_label
_atom_site_fract_x
_atom_site_fract_y
_atom_site_fract_z
Ac1 0.247 0.753 0.247
Ac2 0.250 0.250 0.250
Ac3 0.750 0.750 0.750
Ac4 0.753 0.247 0.753
Al1 0.334 0.334 0.666
Al2 0.666 0.666 0.334
Si1 0.165 0.165 0.835
Si2 0.165 0.670 0.835
Si3 0.330 0.835 0.670
Si4 0.670 0.165 0.330
Si5 0.835 0.330 0.165
Si6 0.835 0.835 0.165
# Electronic total energy: -5.242 eV per atom
# Excess energy over the best structure of this formula in the dataset: 31 meV/atom
# D(E_F): 7.1 states/eV/cell
# Crystal system: orthorhombic
# E_form (uncorrected): -3.2 eV per formula unit
# SG: Fmmm, No. 69

---

11.
# GGA-PBE AcCeAg4, optimized geometry
data_AcCeAg4
_symmetry_space_group_name_H-M 'P 1'
_symmetry_Int_Tables_number 1
_symmetry_space_group_name_Hall 'P 1'
_cell_length_a 6.139
_cell_length_b 6.139
_cell_length_c 6.139
_cell_angle_alpha 133.53
_cell_angle_beta 105.21
_cell_angle_gamma 92.80
loop_
_atom_site_label
_atom_site_fract_x
_atom_site_fract_y
_atom_site_fract_z
Ac1 0.000 0.000 0.000
Ce1 0.500 0.000 0.500
Ag1 0.099 0.334 0.764
Ag2 0.430 0.666 0.764
Ag3 0.570 0.334 0.236
Ag4 0.901 0.666 0.236
# Electronic total energy: -3.776 eV per atom
# Excess energy over the best structure of this formula in the dataset: 0 meV/atom
# D(E_F): 10.7 states/eV/cell
# Crystal system: orthorhombic
# SG: Immm, No. 71

---

12.
# GGA-PBE PrAg2Au, optimized geometry
data_PrAg2Au
_symmetry_space_group_name_H-M 'P 1'
_symmetry_Int_Tables_number 1
_symmetry_space_group_name_Hall 'P 1'
_cell_length_a 5.004
_cell_length_b 5.004
_cell_length_c 5.004
_cell_angle_alpha 60.00
_cell_angle_beta 60.00
_cell_angle_gamma 60.00
loop_
_atom_site_label
_atom_site_fract_x
_atom_site_fract_y
_atom_site_fract_z
Pr1 0.000 0.000 0.000
Ag1 0.250 0.250 0.250
Ag2 0.750 0.750 0.750
Au1 0.500 0.500 0.500
# Electronic total energy: -3.733 eV per atom
# Excess energy over the best structure of this formula in the dataset: 87 meV/atom
# D(E_F): 2.2 states/eV/cell
# Crystal system: cubic
# SG: Fm-3m, No. 225

---

13.
# GGA-PBE Pm3MgSn12, optimized geometry
data_Pm3MgSn12
_symmetry_space_group_name_H-M 'P 1'
_symmetry_Int_Tables_number 1
_symmetry_space_group_name_Hall 'P 1'
_cell_length_a 4.713
_cell_length_b 4.713
_cell_length_c 19.229
_cell_angle_alpha 90.00
_cell_angle_beta 90.00
_cell_angle_gamma 90.00
loop_
_atom_site_label
_atom_site_fract_x
_atom_site_fract_y
_atom_site_fract_z
Pm1 0.000 0.000 0.000
Pm2 0.000 0.000 0.246
Pm3 0.000 0.000 0.754
Mg1 0.000 0.000 0.500
Sn1 0.000 0.500 0.125
Sn2 0.000 0.500 0.379
Sn3 0.000 0.500 0.621
Sn4 0.000 0.500 0.875
Sn5 0.500 0.000 0.125
Sn6 0.500 0.000 0.379
Sn7 0.500 0.000 0.621
Sn8 0.500 0.000 0.875
Sn9 0.500 0.500 0.000
Sn10 0.500 0.500 0.254
Sn11 0.500 0.500 0.500
Sn12 0.500 0.500 0.746
# Electronic total energy: -4.365 eV per atom
# D(E_F): 6.3 states/eV/cell
# Crystal system: tetragonal
# SG: P4/mmm, No. 123

---

14.
# GGA-PBE CuAgGe2F, optimized geometry
data_CuAgGe2F
_symmetry_space_group_name_H-M 'P 1'
_symmetry_Int_Tables_number 1
_symmetry_space_group_name_Hall 'P 1'
_cell_length_a 5.020
_cell_length_b 5.020
_cell_length_c 4.190
_cell_angle_alpha 90.00
_cell_angle_beta 90.00
_cell_angle_gamma 90.00
loop_
_atom_site_label
_atom_site_fract_x
_atom_site_fract_y
_atom_site_fract_z
Cu1 0.000 0.000 0.000
Ag1 0.500 0.500 0.500
Ge1 0.000 0.500 0.500
Ge2 0.500 0.000 0.500
F1 0.500 0.500 0.000
# Electronic total energy: -3.233 eV per atom
# D(E_F): 2.1 states/eV/cell
# Crystal system: tetragonal
# E_form (uncorrected): 1.9 eV per formula unit
# SG: P4/mmm, No. 123

---

15.
# GGA-PBE Be2Zn5Au12, optimized geometry
data_Be2Zn5Au12
_symmetry_space_group_name_H-M 'P 1'
_symmetry_Int_Tables_number 1
_symmetry_space_group_name_Hall 'P 1'
_cell_length_a 8.280
_cell_length_b 8.280
_cell_length_c 7.340
_cell_angle_alpha 105.63
_cell_angle_beta 105.63
_cell_angle_gamma 42.11
loop_
_atom_site_label
_atom_site_fract_x
_atom_site_fract_y
_atom_site_fract_z
Be1 0.184 0.816 0.000
Be2 0.816 0.184 0.000
Zn1 0.252 0.252 0.498
Zn2 0.252 0.252 0.999
Zn3 0.500 0.500 0.500
Zn4 0.748 0.748 0.001
Zn5 0.748 0.748 0.502
Au1 0.013 0.013 0.297
Au2 0.087 0.599 0.807
Au3 0.096 0.614 0.342
Au4 0.386 0.904 0.658
Au5 0.401 0.913 0.193
Au6 0.449 0.449 0.132
Au7 0.551 0.551 0.868
Au8 0.599 0.087 0.807
Au9 0.614 0.096 0.342
Au10 0.904 0.386 0.658
Au11 0.913 0.401 0.193
Au12 0.987 0.987 0.703
# Electronic total energy: -2.900 eV per atom
# Excess energy over the best structure of this formula in the dataset: 12 meV/atom
# D(E_F): 5.3 states/eV/cell
# Crystal system: monoclinic
# SG: C2/m, No. 12

---

16.
# GGA-PBE Ce4GeRh, optimized geometry
data_Ce4GeRh
_symmetry_space_group_name_H-M 'P 1'
_symmetry_Int_Tables_number 1
_symmetry_space_group_name_Hall 'P 1'
_cell_length_a 7.806
_cell_length_b 7.806
_cell_length_c 5.682
_cell_angle_alpha 100.70
_cell_angle_beta 100.70
_cell_angle_gamma 118.07
loop_
_atom_site_label
_atom_site_fract_x
_atom_site_fract_y
_atom_site_fract_z
Ce1 0.092 0.699 0.903
Ce2 0.225 0.389 0.682
Ce3 0.301 0.908 0.597
Ce4 0.389 0.225 0.182
Ce5 0.611 0.775 0.818
Ce6 0.699 0.092 0.403
Ce7 0.775 0.611 0.318
Ce8 0.908 0.301 0.097
Ge1 0.379 0.621 0.250
Ge2 0.621 0.379 0.750
Rh1 0.014 0.986 0.250
Rh2 0.986 0.014 0.750
# Electronic total energy: -6.451 eV per atom
# D(E_F): 29.9 states/eV/cell
# Crystal system: monoclinic
# SG: C2/c, No. 15

---

17.
# GGA-PBE W2Au, optimized geometry
data_W2Au
_symmetry_space_group_name_H-M 'P 1'
_symmetry_Int_Tables_number 1
_symmetry_space_group_name_Hall 'P 1'
_cell_length_a 4.548
_cell_length_b 4.548
_cell_length_c 2.873
_cell_angle_alpha 90.00
_cell_angle_beta 90.00
_cell_angle_gamma 90.00
loop_
_atom_site_label
_atom_site_fract_x
_atom_site_fract_y
_atom_site_fract_z
W1 0.000 0.500 0.000
W2 0.500 0.000 0.000
Au1 0.000 0.000 0.500
# Electronic total energy: -8.051 eV per atom
# Excess energy over the best structure of this formula in the dataset: 1311 meV/atom
# D(E_F): 3.8 states/eV/cell
# Crystal system: tetragonal
# SG: P4/mmm, No. 123

---

18.
# GGA-PBE Ta2CdSn, optimized geometry
data_Ta2CdSn
_symmetry_space_group_name_H-M 'P 1'
_symmetry_Int_Tables_number 1
_symmetry_space_group_name_Hall 'P 1'
_cell_length_a 6.142
_cell_length_b 6.142
_cell_length_c 6.142
_cell_angle_alpha 102.79
_cell_angle_beta 102.79
_cell_angle_gamma 123.85
loop_
_atom_site_label
_atom_site_fract_x
_atom_site_fract_y
_atom_site_fract_z
Ta1 0.121 0.125 0.496
Ta2 0.375 0.879 0.004
Ta3 0.629 0.625 0.504
Ta4 0.875 0.371 0.996
Cd1 0.250 0.750 0.500
Cd2 0.500 0.500 0.000
Sn1 0.000 0.000 0.000
Sn2 0.750 0.250 0.500
# Electronic total energy: -6.459 eV per atom
# D(E_F): 1.6 states/eV/cell
# Crystal system: tetragonal
# SG: I-42d, No. 122

---

19.
# GGA-PBE Tb6GeP2Se3, optimized geometry
data_Tb6GeP2Se3
_symmetry_space_group_name_H-M 'P 1'
_symmetry_Int_Tables_number 1
_symmetry_space_group_name_Hall 'P 1'
_cell_length_a 9.184
_cell_length_b 9.184
_cell_length_c 8.223
_cell_angle_alpha 103.61
_cell_angle_beta 103.61
_cell_angle_gamma 25.69
loop_
_atom_site_label
_atom_site_fract_x
_atom_site_fract_y
_atom_site_fract_z
Tb1 0.004 0.004 0.244
Tb2 0.329 0.329 0.428
Tb3 0.336 0.336 0.905
Tb4 0.664 0.664 0.095
Tb5 0.671 0.671 0.572
Tb6 0.996 0.996 0.756
Ge1 0.500 0.500 0.000
P1 0.167 0.167 0.335
P2 0.833 0.833 0.665
Se1 0.167 0.167 0.832
Se2 0.500 0.500 0.500
Se3 0.833 0.833 0.168
# Electronic total energy: -6.138 eV per atom
# D(E_F): 3.9 states/eV/cell
# Crystal system: monoclinic
# E_form (uncorrected): -20.0 eV per formula unit
# SG: C2/m, No. 12

---

20.
# GGA-PBE AlAs2Pb, optimized geometry
data_AlAs2Pb
_symmetry_space_group_name_H-M 'P 1'
_symmetry_Int_Tables_number 1
_symmetry_space_group_name_Hall 'P 1'
_cell_length_a 4.482
_cell_length_b 4.482
_cell_length_c 4.485
_cell_angle_alpha 90.00
_cell_angle_beta 90.00
_cell_angle_gamma 90.00
loop_
_atom_site_label
_atom_site_fract_x
_atom_site_fract_y
_atom_site_fract_z
Al1 0.000 0.000 0.000
As1 0.000 0.500 0.500
As2 0.500 0.000 0.500
Pb1 0.500 0.500 0.000
# Electronic total energy: -3.892 eV per atom
# Excess energy over the best structure of this formula in the dataset: 413 meV/atom
# D(E_F): 1.7 states/eV/cell
# Crystal system: tetragonal
# SG: P4/mmm, No. 123